No. 1
VASP calculation (GGA-PBE) on a relaxed structure of RbPmF4.

abc: 6.377 3.768 16.287
angles: 90.00 90.00 90.00
Fractional coordinates of all 24 atoms:
Rb1 0.224 0.250 0.201
Rb2 0.276 0.750 0.701
Rb3 0.724 0.250 0.299
Rb4 0.776 0.750 0.799
Pm1 0.248 0.750 0.443
Pm2 0.252 0.250 0.943
Pm3 0.748 0.750 0.057
Pm4 0.752 0.250 0.557
F1 0.001 0.250 0.054
F2 0.100 0.250 0.816
F3 0.111 0.250 0.373
F4 0.131 0.250 0.536
F5 0.369 0.750 0.036
F6 0.389 0.750 0.873
F7 0.400 0.750 0.316
F8 0.499 0.750 0.554
F9 0.501 0.250 0.446
F10 0.600 0.250 0.684
F11 0.611 0.250 0.127
F12 0.631 0.250 0.964
F13 0.869 0.750 0.464
F14 0.889 0.750 0.627
F15 0.900 0.750 0.184
F16 0.999 0.750 0.946

Results
**Symmetry**: Pnma (62)
**M_tot**: 0.2 Bohr magnetons per cell
**Total energy**: -141.3 eV per cell
**Energy above the lowest structure with this stoichiometry**: 0 meV per atom



No. 2
VASP calculation (GGA-PBE) on a relaxed structure of RbPmF5.

abc: 9.223 9.223 6.516
angles: 90.06 90.06 151.73
Fractional coordinates of all 14 atoms:
Rb1 0.189 0.811 0.750
Rb2 0.811 0.189 0.250
Pm1 0.419 0.581 0.750
Pm2 0.581 0.419 0.250
F1 0.118 0.882 0.250
F2 0.254 0.260 0.492
F3 0.260 0.254 0.992
F4 0.328 0.670 0.991
F5 0.330 0.672 0.509
F6 0.670 0.328 0.491
F7 0.672 0.330 0.009
F8 0.740 0.746 0.008
F9 0.746 0.740 0.508
F10 0.882 0.118 0.750

Results
**Symmetry**: C2/c (15)
**M_tot**: 2.2 Bohr magnetons per cell
**Total energy**: -73.7 eV per cell



No. 3
VASP calculation (GGA-PBE) on a relaxed structure of Rb3Pm2F8.

abc: 7.862 7.862 4.588
angles: 99.69 99.69 61.26
Fractional coordinates of all 13 atoms:
Rb1 0.000 0.000 0.000
Rb2 0.294 0.706 0.500
Rb3 0.706 0.294 0.500
Pm1 0.267 0.267 0.910
Pm2 0.733 0.733 0.090
F1 0.070 0.609 0.946
F2 0.120 0.120 0.578
F3 0.321 0.321 0.438
F4 0.391 0.930 0.054
F5 0.609 0.070 0.946
F6 0.679 0.679 0.562
F7 0.880 0.880 0.422
F8 0.930 0.391 0.054

Results
**Symmetry**: C2/m (12)
**M_tot**: 1.0 Bohr magnetons per cell
**Total energy**: -69.6 eV per cell



No. 4
VASP calculation (GGA-PBE) on a relaxed structure of Rb5Pm2F12.

abc: 8.124 8.124 8.313
angles: 118.24 118.24 60.31
Fractional coordinates of all 19 atoms:
Rb1 0.000 0.000 0.000
Rb2 0.262 0.262 0.510
Rb3 0.309 0.309 0.993
Rb4 0.691 0.691 0.007
Rb5 0.738 0.738 0.490
Pm1 0.248 0.752 0.500
Pm2 0.752 0.248 0.500
F1 0.102 0.102 0.653
F2 0.113 0.503 0.265
F3 0.133 0.731 0.695
F4 0.269 0.867 0.305
F5 0.492 0.492 0.645
F6 0.497 0.887 0.735
F7 0.503 0.113 0.265
F8 0.508 0.508 0.355
F9 0.731 0.133 0.695
F10 0.867 0.269 0.305
F11 0.887 0.497 0.735
F12 0.898 0.898 0.347

Results
**Symmetry**: C2/m (12)
**M_tot**: 1.3 Bohr magnetons per cell
**Total energy**: -96.6 eV per cell



No. 5
VASP calculation (GGA-PBE) on a relaxed structure of RbPmF4.

abc: 4.011 4.011 6.626
angles: 90.00 90.00 90.00
Fractional coordinates of all 6 atoms:
Rb1 0.000 0.000 0.000
Pm1 0.500 0.500 0.500
F1 0.000 0.500 0.303
F2 0.000 0.500 0.697
F3 0.500 0.000 0.303
F4 0.500 0.000 0.697

Results
**Symmetry**: P4/mmm (123)
**M_tot**: 0.0 Bohr magnetons per cell
**Total energy**: -35.3 eV per cell
**Energy above the lowest structure with this stoichiometry**: 10 meV per atom



No. 6
VASP calculation (GGA-PBE) on a relaxed structure of Rb4PmF7.

abc: 10.799 10.799 6.513
angles: 105.98 105.98 24.04
Fractional coordinates of all 12 atoms:
Rb1 0.093 0.093 0.049
Rb2 0.208 0.208 0.686
Rb3 0.792 0.792 0.314
Rb4 0.907 0.907 0.951
Pm1 0.500 0.500 0.500
F1 0.000 0.000 0.500
F2 0.219 0.219 0.262
F3 0.400 0.400 0.247
F4 0.447 0.447 0.756
F5 0.553 0.553 0.244
F6 0.600 0.600 0.753
F7 0.781 0.781 0.738

Results
**Symmetry**: C2/m (12)
**M_tot**: 0.2 Bohr magnetons per cell
**Total energy**: -59.2 eV per cell



Respective energy relative to the elements, uncorrected values: -3.685 -3.112 -3.251 -3.149 -3.675 -3.121 eV per atom.